! Hf2ZrMo (PBE, optimized geometry); values from VASP
&SYSTEM
  ibrav = 0, nat = 8, ntyp = 3
/
ATOMIC_SPECIES
Hf 178.49 Hf.upf
Zr 91.22 Zr.upf
Mo 95.94 Mo.upf
ATOMIC_POSITIONS crystal
Hf 0.097 0.625 0.972
Hf 0.375 0.347 0.472
Hf 0.653 0.125 0.028
Hf 0.875 0.903 0.528
Zr 0.250 0.750 0.500
Zr 0.500 0.500 0.000
Mo 0.000 0.000 0.000
Mo 0.750 0.250 0.500
CELL_PARAMETERS angstrom
-3.804 3.804 2.973
3.804 -3.804 2.973
3.804 3.804 -2.973
! ΔE_f, meV/atom: 524
! Total DFT energy (no corrections), eV per cell: -74.38
! SG: I-42d (122)
! Volume, Å³/cell: 172.1